Below is a relaxed structure of Pm6Sb3As2P, with properties calculated at the PBE level.

Structure (extended XYZ):
```
12
Lattice="-1.754 0.497 3.926 6.091 -5.257 3.386 4.712 8.421 -1.347" Properties=species:S:1:pos:R:3 pbc="T T T"
Pm 8.141 1.108 3.497
Pm 7.590 4.849 5.164
Pm 5.122 3.480 1.848
As 3.300 1.131 1.331
Sb 6.366 -1.479 3.031
Pm 1.458 -1.189 0.802
Pm 3.926 0.180 4.117
Pm 0.907 2.552 2.469
P -0.877 0.248 1.963
Sb 2.168 -2.380 3.656
Sb 2.683 5.139 2.935
As 5.748 2.529 4.634
```

Mass density in kg/m3: 6753
V in Å³ per cell: 348.22
Formation energy (no corrections) in kJ/mol of atoms: -129.5
Symmetry: C2/m, No. 12